# 1
An optimized crystal structure of DyTm2Tl5, computed with PBE-GGA.

Properties
volume = 27.315 A^3/atom
D(E_F) = 7.76 states/eV/cell
space-group type = No. 107
energy of formation = -219 meV/atom
uncorrected energy = -3.3907 eV per atom

a = 6.5785 Å, b = 6.5785 Å, c = 6.5785 Å
α = 107.72°, β = 107.72°, γ = 113.03°
Last column: nearest neighbours and their distance in Å.
Element x y z (fractional)
Dy 0.0000 0.0000 0.0000  10 Tl 3.29-3.64
Tm 0.0006 0.5006 0.5000  8 Tl 3.29, 2 Tm 3.63
Tm 0.5006 0.0006 0.5000  8 Tl 3.29, 2 Tm 3.63
Tl 0.0007 0.0007 0.5005  4 Tm 3.29, 2 Dy 3.29, 4 Tl 3.29-3.63
Tl 0.0007 0.5002 0.0000  4 Tm 3.29, 2 Dy 3.29, 4 Tl 3.29-3.63
Tl 0.5002 0.0007 0.0000  4 Tm 3.29, 2 Dy 3.29, 4 Tl 3.29-3.63
Tl 0.5002 0.5002 0.4995  4 Tm 3.29, 2 Dy 3.29, 4 Tl 3.29-3.63
Tl 0.5010 0.5010 0.0000  8 Tl 3.29, 2 Dy 3.62-3.64

---

# 2
An optimized crystal structure of Dy2TmTl, computed with PBE-GGA.

Properties
volume = 29.534 A^3/atom
D(E_F) = 10.44 states/eV/cell
space-group type = No. 11
energy of formation = -156 meV/atom
uncorrected energy = -4.1665 eV per atom

a = 3.6335 Å, b = 10.1640 Å, c = 6.6494 Å
α = 90.00°, β = 105.82°, γ = 90.00°
Last column: nearest neighbours and their distance in Å.
Element x y z (fractional)
Dy 0.1279 0.0347 0.2585  3 Tl 3.23-3.29, 1 Dy 3.38, 4 Tm 3.58-3.60
Dy 0.1279 0.4653 0.2585  3 Tl 3.23-3.29, 1 Dy 3.38, 4 Tm 3.58-3.60
Dy 0.8721 0.5347 0.7415  3 Tl 3.23-3.29, 1 Dy 3.38, 4 Tm 3.58-3.60
Dy 0.8721 0.9653 0.7415  3 Tl 3.23-3.29, 1 Dy 3.38, 4 Tm 3.58-3.60
Tm 0.4594 0.2500 0.9196  2 Tl 3.26, 8 Dy 3.58-3.60, 2 Tm 3.63
Tm 0.5406 0.7500 0.0804  2 Tl 3.26, 8 Dy 3.58-3.60, 2 Tm 3.63
Tl 0.2532 0.7500 0.5035  6 Dy 3.23-3.29, 2 Tm 3.26
Tl 0.7468 0.2500 0.4965  6 Dy 3.23-3.29, 2 Tm 3.26

---

# 3
An optimized crystal structure of Dy2Tm2Tl5, computed with PBE-GGA.

Properties
volume = 28.872 A^3/atom
D(E_F) = 12.13 states/eV/cell
space-group type = No. 64
energy of formation = -166 meV/atom
uncorrected energy = -3.4971 eV per atom

a = 8.9665 Å, b = 8.9665 Å, c = 8.0972 Å
α = 90.00°, β = 90.00°, γ = 52.97°
Last column: nearest neighbours and their distance in Å.
Element x y z (fractional)
Dy 0.1999 0.1999 0.0000  7 Tl 3.14-3.27
Dy 0.3001 0.3001 0.5000  7 Tl 3.14-3.27
Dy 0.6999 0.6999 0.5000  7 Tl 3.14-3.27
Dy 0.8001 0.8001 0.0000  7 Tl 3.14-3.27
Tm 0.1518 0.8482 0.6548  8 Tl 3.05-3.27
Tm 0.3482 0.6518 0.1548  8 Tl 3.05-3.27
Tm 0.6518 0.3482 0.8452  8 Tl 3.05-3.27
Tm 0.8482 0.1518 0.3452  8 Tl 3.05-3.27
Tl 0.0000 0.0000 0.0000  4 Tm 3.05, 2 Dy 3.21
Tl 0.0135 0.7162 0.3532  3 Dy 3.14-3.27, 3 Tm 3.14-3.27, 1 Tl 3.36
Tl 0.2162 0.5135 0.8532  3 Dy 3.14-3.27, 3 Tm 3.14-3.27, 1 Tl 3.36
Tl 0.2838 0.9865 0.3532  3 Dy 3.14-3.27, 3 Tm 3.14-3.27, 1 Tl 3.36
Tl 0.4865 0.7838 0.8532  3 Dy 3.14-3.27, 3 Tm 3.14-3.27, 1 Tl 3.36
Tl 0.5000 0.5000 0.5000  4 Tm 3.05, 2 Dy 3.21
Tl 0.5135 0.2162 0.1468  3 Dy 3.14-3.27, 3 Tm 3.14-3.27, 1 Tl 3.36
Tl 0.7162 0.0135 0.6468  3 Dy 3.14-3.27, 3 Tm 3.14-3.27, 1 Tl 3.36
Tl 0.7838 0.4865 0.1468  3 Dy 3.14-3.27, 3 Tm 3.14-3.27, 1 Tl 3.36
Tl 0.9865 0.2838 0.6468  3 Dy 3.14-3.27, 3 Tm 3.14-3.27, 1 Tl 3.36

---

# 4
An optimized crystal structure of Dy2TmTl4, computed with PBE-GGA.

Properties
volume = 29.542 A^3/atom
D(E_F) = 4.97 states/eV/cell
space-group type = No. 166
energy of formation = -50 meV/atom
uncorrected energy = -3.3561 eV per atom

a = 10.4811 Å, b = 10.4811 Å, c = 10.4811 Å
α = 26.83°, β = 26.83°, γ = 26.83°
Last column: nearest neighbours and their distance in Å.
Element x y z (fractional)
Dy 0.1288 0.1288 0.1288  3 Tl 3.05
Dy 0.8712 0.8712 0.8712  3 Tl 3.05
Tm 0.0000 0.0000 0.0000  6 Tl 3.15
Tl 0.2438 0.2438 0.2438  3 Dy 3.05, 3 Tl 3.08
Tl 0.3807 0.3807 0.3807  3 Tl 3.08, 3 Tm 3.15
Tl 0.6193 0.6193 0.6193  3 Tl 3.08, 3 Tm 3.15
Tl 0.7562 0.7562 0.7562  3 Dy 3.05, 3 Tl 3.08

---

# 5
An optimized crystal structure of Dy4TmTl, computed with PBE-GGA.

Properties
volume = 30.157 A^3/atom
D(E_F) = 6.81 states/eV/cell
space-group type = No. 123
energy of formation = -104 meV/atom
uncorrected energy = -4.3113 eV per atom

a = 3.5698 Å, b = 3.5698 Å, c = 14.1989 Å
α = 90.00°, β = 90.00°, γ = 90.00°
Last column: nearest neighbours and their distance in Å.
Element x y z (fractional)
Dy 0.0000 0.0000 0.1509  4 Tl 3.31, 8 Dy 3.55-3.57
Dy 0.0000 0.0000 0.8491  4 Tl 3.31, 8 Dy 3.55-3.57
Dy 0.5000 0.5000 0.3265  4 Tm 3.53, 8 Dy 3.55-3.57
Dy 0.5000 0.5000 0.6735  4 Tm 3.53, 8 Dy 3.55-3.57
Tm 0.0000 0.0000 0.5000  8 Dy 3.53, 4 Tm 3.57
Tl 0.5000 0.5000 0.0000  8 Dy 3.31, 4 Tl 3.57

---

# 6
An optimized crystal structure of Dy4Tm9Tl11, computed with PBE-GGA.

Properties
volume = 27.094 A^3/atom
D(E_F) = 20.74 states/eV/cell
space-group type = No. 65
energy of formation = -232 meV/atom
uncorrected energy = -3.7603 eV per atom

a = 13.9585 Å, b = 13.9585 Å, c = 3.5473 Å
α = 90.00°, β = 90.00°, γ = 109.81°
Last column: nearest neighbours and their distance in Å.
Element x y z (fractional)
Dy 0.0860 0.2482 0.0000  6 Tl 3.23-3.36, 3 Tm 3.26-3.61, 2 Dy 3.55
Dy 0.2482 0.0860 0.0000  6 Tl 3.23-3.36, 3 Tm 3.26-3.61, 2 Dy 3.55
Dy 0.7518 0.9140 0.0000  6 Tl 3.23-3.36, 3 Tm 3.26-3.61, 2 Dy 3.55
Dy 0.9140 0.7518 0.0000  6 Tl 3.23-3.36, 3 Tm 3.26-3.61, 2 Dy 3.55
Tm 0.0000 0.0000 0.0000  4 Dy 3.26, 4 Tl 3.33, 2 Tm 3.55
Tm 0.1139 0.6595 0.0000  8 Tl 3.21-3.47, 1 Dy 3.45, 2 Tm 3.55
Tm 0.2968 0.4852 0.0000  8 Tl 3.23-3.29, 3 Tm 3.50-3.55, 1 Dy 3.61
Tm 0.3405 0.8861 0.0000  8 Tl 3.21-3.47, 1 Dy 3.45, 2 Tm 3.55
Tm 0.4852 0.2968 0.0000  8 Tl 3.23-3.29, 3 Tm 3.50-3.55, 1 Dy 3.61
Tm 0.5148 0.7032 0.0000  8 Tl 3.23-3.29, 3 Tm 3.50-3.55, 1 Dy 3.61
Tm 0.6595 0.1139 0.0000  8 Tl 3.21-3.47, 1 Dy 3.45, 2 Tm 3.55
Tm 0.7032 0.5148 0.0000  8 Tl 3.23-3.29, 3 Tm 3.50-3.55, 1 Dy 3.61
Tm 0.8861 0.3405 0.0000  8 Tl 3.21-3.47, 1 Dy 3.45, 2 Tm 3.55
Tl 0.0903 0.4504 0.5000  3 Tl 3.26-3.55, 6 Tm 3.26-3.34, 2 Dy 3.32
Tl 0.1235 0.8765 0.5000  6 Tm 3.33-3.47, 4 Dy 3.36, 2 Tl 3.55
Tl 0.2894 0.2894 0.5000  4 Dy 3.23, 4 Tm 3.23, 3 Tl 3.38-3.55
Tl 0.3131 0.6869 0.5000  8 Tm 3.21-3.27, 2 Tl 3.55
Tl 0.4504 0.0903 0.5000  3 Tl 3.26-3.55, 6 Tm 3.26-3.34, 2 Dy 3.32
Tl 0.5000 0.5000 0.5000  8 Tm 3.29, 4 Tl 3.38-3.55
Tl 0.5496 0.9097 0.5000  3 Tl 3.26-3.55, 6 Tm 3.26-3.34, 2 Dy 3.32
Tl 0.6869 0.3131 0.5000  8 Tm 3.21-3.27, 2 Tl 3.55
Tl 0.7106 0.7106 0.5000  4 Dy 3.23, 4 Tm 3.23, 3 Tl 3.38-3.55
Tl 0.8765 0.1235 0.5000  6 Tm 3.33-3.47, 4 Dy 3.36, 2 Tl 3.55
Tl 0.9097 0.5496 0.5000  3 Tl 3.26-3.55, 6 Tm 3.26-3.34, 2 Dy 3.32

---

# 7
An optimized crystal structure of DyTm5Tl4, computed with PBE-GGA.

Properties
volume = 27.498 A^3/atom
D(E_F) = 7.17 states/eV/cell
space-group type = No. 123
energy of formation = -247 meV/atom
uncorrected energy = -3.8897 eV per atom

a = 3.5834 Å, b = 3.5834 Å, c = 21.4154 Å
α = 90.00°, β = 90.00°, γ = 90.00°
Last column: nearest neighbours and their distance in Å.
Element x y z (fractional)
Dy 0.0000 0.0000 0.0000  8 Tm 3.51, 4 Dy 3.58
Tm 0.5000 0.5000 0.1131  4 Tl 3.27, 4 Dy 3.51, 4 Tm 3.58
Tm 0.5000 0.5000 0.3056  8 Tl 3.26-3.28, 4 Tm 3.58
Tm 0.5000 0.5000 0.5000  8 Tl 3.27, 4 Tm 3.58
Tm 0.5000 0.5000 0.6944  8 Tl 3.26-3.28, 4 Tm 3.58
Tm 0.5000 0.5000 0.8869  4 Tl 3.27, 4 Dy 3.51, 4 Tm 3.58
Tl 0.0000 0.0000 0.2098  8 Tm 3.26-3.27, 4 Tl 3.58
Tl 0.0000 0.0000 0.4031  8 Tm 3.27-3.28, 4 Tl 3.58
Tl 0.0000 0.0000 0.5969  8 Tm 3.27-3.28, 4 Tl 3.58
Tl 0.0000 0.0000 0.7902  8 Tm 3.26-3.27, 4 Tl 3.58

---

# 8
An optimized crystal structure of DyTm2Tl, computed with PBE-GGA.

Properties
volume = 28.994 A^3/atom
D(E_F) = 4.32 states/eV/cell
space-group type = No. 123
energy of formation = -164 meV/atom
uncorrected energy = -4.1422 eV per atom

a = 3.5879 Å, b = 3.5879 Å, c = 9.0093 Å
α = 90.00°, β = 90.00°, γ = 90.00°
Last column: nearest neighbours and their distance in Å.
Element x y z (fractional)
Dy 0.0000 0.0000 0.0000  8 Tm 3.52, 4 Dy 3.59
Tm 0.5000 0.5000 0.2703  4 Tl 3.27, 4 Dy 3.52, 4 Tm 3.59
Tm 0.5000 0.5000 0.7297  4 Tl 3.27, 4 Dy 3.52, 4 Tm 3.59
Tl 0.0000 0.0000 0.5000  8 Tm 3.27, 4 Tl 3.59

---

# 9
An optimized crystal structure of Dy6TmTl5, computed with PBE-GGA.

Properties
volume = 29.341 A^3/atom
D(E_F) = 11.78 states/eV/cell
space-group type = No. 12
energy of formation = -181 meV/atom
uncorrected energy = -3.8402 eV per atom

a = 7.6086 Å, b = 7.6086 Å, c = 6.2545 Å
α = 98.61°, β = 98.61°, γ = 94.47°
Last column: nearest neighbours and their distance in Å.
Element x y z (fractional)
Dy 0.0540 0.4052 0.7385  5 Tl 3.17-3.46, 1 Tm 3.51, 1 Dy 3.52
Dy 0.2261 0.2261 0.2278  5 Tl 3.18-3.36, 1 Tm 3.44
Dy 0.4052 0.0540 0.7385  5 Tl 3.17-3.46, 1 Tm 3.51, 1 Dy 3.52
Dy 0.5948 0.9460 0.2615  5 Tl 3.17-3.46, 1 Tm 3.51, 1 Dy 3.52
Dy 0.7739 0.7739 0.7722  5 Tl 3.18-3.36, 1 Tm 3.44
Dy 0.9460 0.5948 0.2615  5 Tl 3.17-3.46, 1 Tm 3.51, 1 Dy 3.52
Tm 0.5000 0.5000 0.0000  6 Tl 3.38-3.51, 6 Dy 3.44-3.51
Tl 0.0000 0.0000 0.5000  6 Dy 3.18
Tl 0.1976 0.8024 0.0000  6 Dy 3.17-3.30, 1 Tm 3.38
Tl 0.3578 0.6422 0.5000  1 Tl 3.18, 6 Dy 3.23-3.46, 2 Tm 3.51
Tl 0.6422 0.3578 0.5000  1 Tl 3.18, 6 Dy 3.23-3.46, 2 Tm 3.51
Tl 0.8024 0.1976 0.0000  6 Dy 3.17-3.30, 1 Tm 3.38

---

# 10
An optimized crystal structure of DyTm7Tl4, computed with PBE-GGA.

Properties
volume = 29.087 A^3/atom
D(E_F) = 12.80 states/eV/cell
space-group type = No. 12
energy of formation = 22 meV/atom
uncorrected energy = -3.7591 eV per atom

a = 7.9513 Å, b = 7.9513 Å, c = 9.6481 Å
α = 119.15°, β = 119.15°, γ = 42.14°
Last column: nearest neighbours and their distance in Å.
Element x y z (fractional)
Dy 0.0000 0.0000 0.0000  2 Tm 2.86
Tm 0.0699 0.0699 0.4098  3 Tl 3.15-3.24, 3 Tm 3.33-3.52, 1 Dy 3.52
Tm 0.2037 0.2037 0.8785  3 Tl 3.27-3.49, 5 Tm 3.49-3.55
Tm 0.2557 0.2557 0.3008  4 Tl 2.96-3.13
Tm 0.5000 0.5000 0.0000  2 Dy 2.86, 2 Tl 2.97
Tm 0.7443 0.7443 0.6992  4 Tl 2.96-3.13
Tm 0.7963 0.7963 0.1215  3 Tl 3.27-3.49, 5 Tm 3.49-3.55
Tm 0.9301 0.9301 0.5902  3 Tl 3.15-3.24, 3 Tm 3.33-3.52, 1 Dy 3.52
Tl 0.3151 0.3151 0.6620  6 Tm 2.97-3.27, 1 Tl 3.25
Tl 0.4511 0.4511 0.2887  4 Tm 2.96-3.24, 1 Tl 3.25
Tl 0.5489 0.5489 0.7113  4 Tm 2.96-3.24, 1 Tl 3.25
Tl 0.6849 0.6849 0.3380  6 Tm 2.97-3.27, 1 Tl 3.25

---

# 11
An optimized crystal structure of Dy9TmTl2, computed with PBE-GGA.

Properties
volume = 29.440 A^3/atom
D(E_F) = 14.69 states/eV/cell
space-group type = No. 123
energy of formation = -110 meV/atom
uncorrected energy = -4.3291 eV per atom

a = 4.8647 Å, b = 4.8647 Å, c = 14.9281 Å
α = 90.00°, β = 90.00°, γ = 90.00°
Last column: nearest neighbours and their distance in Å.
Element x y z (fractional)
Dy 0.0000 0.0000 0.0000  4 Tm 3.44, 8 Dy 3.52
Dy 0.0000 0.0000 0.3361  4 Tl 3.44, 8 Dy 3.45-3.47
Dy 0.0000 0.0000 0.6639  4 Tl 3.44, 8 Dy 3.45-3.47
Dy 0.0000 0.5000 0.1705  8 Dy 3.44-3.52, 2 Tl 3.51, 2 Tm 3.52
Dy 0.0000 0.5000 0.5000  4 Tl 3.41, 8 Dy 3.44-3.45
Dy 0.0000 0.5000 0.8295  8 Dy 3.44-3.52, 2 Tl 3.51, 2 Tm 3.52
Dy 0.5000 0.0000 0.1705  8 Dy 3.44-3.52, 2 Tl 3.51, 2 Tm 3.52
Dy 0.5000 0.0000 0.5000  4 Tl 3.41, 8 Dy 3.44-3.45
Dy 0.5000 0.0000 0.8295  8 Dy 3.44-3.52, 2 Tl 3.51, 2 Tm 3.52
Tm 0.5000 0.5000 0.0000  12 Dy 3.44-3.52
Tl 0.5000 0.5000 0.3397  12 Dy 3.41-3.51
Tl 0.5000 0.5000 0.6603  12 Dy 3.41-3.51

---

# 12
An optimized crystal structure of DyTm5Tl6, computed with PBE-GGA.

Properties
volume = 28.408 A^3/atom
D(E_F) = 10.40 states/eV/cell
space-group type = No. 12
energy of formation = -234 meV/atom
uncorrected energy = -3.6641 eV per atom

a = 7.4273 Å, b = 7.4273 Å, c = 6.3862 Å
α = 98.47°, β = 98.47°, γ = 97.03°
Last column: nearest neighbours and their distance in Å.
Element x y z (fractional)
Dy 0.0000 0.0000 0.0000  6 Tl 3.22-3.23
Tm 0.1668 0.8332 0.5000  6 Tl 3.19-3.22
Tm 0.3344 0.6656 0.0000  6 Tl 3.21-3.22
Tm 0.5000 0.5000 0.5000  6 Tl 3.20-3.21
Tm 0.6656 0.3344 0.0000  6 Tl 3.21-3.22
Tm 0.8332 0.1668 0.5000  6 Tl 3.19-3.22
Tl 0.0830 0.4185 0.2514  5 Tm 3.19-3.22, 1 Dy 3.22
Tl 0.2505 0.2505 0.7469  5 Tm 3.20-3.21, 1 Dy 3.23
Tl 0.4185 0.0830 0.2514  5 Tm 3.19-3.22, 1 Dy 3.22
Tl 0.5815 0.9170 0.7486  5 Tm 3.19-3.22, 1 Dy 3.22
Tl 0.7495 0.7495 0.2531  5 Tm 3.20-3.21, 1 Dy 3.23
Tl 0.9170 0.5815 0.7486  5 Tm 3.19-3.22, 1 Dy 3.22

---

- What is the formula in the eighth record?
  DyTm2Tl